(1)
First-principles (meta-GGA SCAN) data for La2NbPAu at its PBEsol-relaxed geometry, as listed in the Alexandria database.

Results
Magnetization = 1.6 μB/f.u.
Energy = -40.183 eV per atom
ΔE_f = -9.32 kcal/mol of atoms
Crystal system = tetragonal
ρ = 7.2 g/cm3

Lattice parameters (Å, degrees): 4.589 5.499 5.499 90.00 90.00 90.00
Positions (direct):
P (0.000, 0.000, 0.000)
Nb (0.500, 0.000, 0.000)
Au (0.500, 0.500, 0.500)
La (0.000, 0.000, 0.500)
La (0.000, 0.500, 0.000)

***

(2)
First-principles (meta-GGA SCAN) data for LaYNbAu2 at its PBEsol-relaxed geometry, as listed in the Alexandria database.

Results
Magnetization = 3.5 μB/f.u.
Energy = -47.517 eV per atom
ΔE_f = 22.17 kcal/mol of atoms
Crystal system = tetragonal
ρ = 8.3 g/cm3

Lattice parameters (Å, degrees): 5.089 5.089 5.534 90.00 90.00 90.00
Positions (direct):
Y (0.000, 0.000, 0.000)
Nb (0.500, 0.500, 0.500)
Au (0.000, 0.500, 0.000)
Au (0.500, 0.000, 0.000)
La (0.000, 0.000, 0.500)

***

(3)
First-principles (meta-GGA SCAN) data for LaNi2Au at its PBEsol-relaxed geometry, as listed in the Alexandria database.

Results
Magnetization = 0.0 μB/f.u.
Energy = -36.195 eV per atom
ΔE_f = -1.00 kcal/mol of atoms
Crystal system = tetragonal
ρ = 11.1 g/cm3

Lattice parameters (Å, degrees): 3.396 3.396 5.895 90.00 90.00 90.00
Positions (direct):
Au (0.500, 0.500, 0.000)
La (0.500, 0.500, 0.500)
Ni (0.000, 0.000, 0.792)
Ni (0.000, 0.000, 0.208)

***

(4)
First-principles (meta-GGA SCAN) data for LaNiAu2 at its PBEsol-relaxed geometry, as listed in the Alexandria database.

Results
Magnetization = 0.4 μB/f.u.
Energy = -49.817 eV per atom
ΔE_f = -9.66 kcal/mol of atoms
Crystal system = orthorhombic
ρ = 12.8 g/cm3

Lattice parameters (Å, degrees): 4.165 4.456 5.131 115.74 113.94 90.00
Positions (direct):
Au (0.988, 0.988, 0.975)
Au (0.745, 0.245, 0.490)
La (0.506, 0.506, 0.011)
Ni (0.262, 0.762, 0.523)